1.
A geometry-optimized AlSb3Pd structure. Source: Alexandria via LeMat-Bulk, functional PBE-GGA.

Output
Size of the total moment in μB per formula unit: 0.0

a b c (Å): 5.181 5.181 5.181
angles (deg): 90.00 90.00 90.00
Atoms (fractional coordinates):
Sb 0.500 0.000 0.000
Sb 0.000 0.500 0.000
Sb 0.000 0.000 0.500
Al 0.000 0.000 0.000
Pd 0.500 0.500 0.500

---

2.
A geometry-optimized AlSb3Pd structure. Source: Alexandria via LeMat-Bulk, functional PBE-GGA.

Output
Size of the total moment in μB per formula unit: 0.0

a b c (Å): 5.242 5.242 5.242
angles (deg): 90.00 90.00 90.00
Atoms (fractional coordinates):
Sb 0.000 0.500 0.000
Sb 0.500 0.000 0.000
Sb 0.000 0.000 0.500
Pd 0.000 0.000 0.000
Al 0.500 0.500 0.500

---

Going by the computed energies, the most stable comes first: 2, 1.

---

1.
A geometry-optimized Al2SbPd2 structure. Source: Alexandria via LeMat-Bulk, functional PBE-GGA.

Output
Size of the total moment in μB per formula unit: 0.0

a b c (Å): 4.065 4.065 6.314
angles (deg): 71.23 71.23 90.00
Atoms (fractional coordinates):
Al 0.617 0.617 0.766
Al 0.383 0.383 0.234
Sb 0.000 0.000 0.000
Pd 0.250 0.750 0.500
Pd 0.750 0.250 0.500

---

2.
A geometry-optimized Al2SbPd2 structure. Source: Alexandria via LeMat-Bulk, functional PBE-GGA.

Output
Size of the total moment in μB per formula unit: 0.0

a b c (Å): 7.647 7.647 2.930
angles (deg): 90.00 90.00 90.00
Atoms (fractional coordinates):
Al 0.854 0.354 0.500
Al 0.354 0.146 0.500
Al 0.146 0.646 0.500
Al 0.646 0.854 0.500
Sb 0.000 0.000 0.000
Sb 0.500 0.500 0.000
Pd 0.146 0.354 0.000
Pd 0.854 0.646 0.000
Pd 0.354 0.854 0.000
Pd 0.646 0.146 0.000

---

Going by the computed energies, the most stable comes first: 2, 1.

---

1.
A geometry-optimized ScAl2Pd3 structure. Source: Alexandria via LeMat-Bulk, functional PBE-GGA.

Output
Size of the total moment in μB per formula unit: 0.0

a b c (Å): 3.089 3.089 9.865
angles (deg): 90.00 90.00 90.00
Atoms (fractional coordinates):
Pd 0.000 0.000 0.000
Pd 0.000 0.000 0.696
Pd 0.000 0.000 0.304
Sc 0.500 0.500 0.500
Al 0.500 0.500 0.843
Al 0.500 0.500 0.157

---

2.
A geometry-optimized ScAl2Pd3 structure. Source: Alexandria via LeMat-Bulk, functional PBE-GGA.

Output
Size of the total moment in μB per formula unit: 0.0

a b c (Å): 4.126 5.521 5.521
angles (deg): 120.00 90.00 90.00
Atoms (fractional coordinates):
Pd 0.000 0.500 0.000
Pd 0.000 0.500 0.500
Pd 0.000 0.000 0.500
Sc 0.000 0.000 0.000
Al 0.500 0.667 0.333
Al 0.500 0.333 0.667

---

Going by the computed energies, the most stable comes first: 1, 2.

---

1.
A geometry-optimized Sc4AlPd structure. Source: Alexandria via LeMat-Bulk, functional PBE-GGA.

Output
Size of the total moment in μB per formula unit: 0.0

a b c (Å): 4.596 4.597 6.764
angles (deg): 89.96 89.99 90.00
Atoms (fractional coordinates):
Sc 0.501 0.998 0.738
Sc 0.001 0.498 0.738
Sc 0.001 0.497 0.258
Sc 0.501 0.997 0.258
Al 0.501 0.497 0.998
Pd 0.001 0.997 0.498

---

2.
A geometry-optimized Sc4AlPd structure. Source: Alexandria via LeMat-Bulk, functional PBE-GGA.

Output
Size of the total moment in μB per formula unit: 0.0

a b c (Å): 8.966 8.966 8.966
angles (deg): 60.00 60.00 60.00
Atoms (fractional coordinates):
Sc 0.815 0.815 0.185
Sc 0.185 0.815 0.185
Sc 0.560 0.560 0.940
Sc 0.390 0.831 0.390
Sc 0.185 0.815 0.815
Sc 0.940 0.560 0.940
Sc 0.390 0.390 0.390
Sc 0.940 0.940 0.560
Sc 0.940 0.560 0.560
Sc 0.815 0.185 0.815
Sc 0.831 0.390 0.390
Sc 0.815 0.185 0.185
Sc 0.390 0.390 0.831
Sc 0.185 0.185 0.815
Sc 0.560 0.940 0.940
Sc 0.560 0.940 0.560
Pd 0.602 0.602 0.195
Pd 0.195 0.602 0.602
Pd 0.602 0.602 0.602
Pd 0.602 0.195 0.602
Al 0.168 0.168 0.168
Al 0.168 0.495 0.168
Al 0.495 0.168 0.168
Al 0.168 0.168 0.495

---

Going by the computed energies, the most stable comes first: 2, 1.

---

1.
A geometry-optimized ScAl2Pd2 structure. Source: Alexandria via LeMat-Bulk, functional PBE-GGA.

Output
Size of the total moment in μB per formula unit: 0.0

a b c (Å): 4.631 4.631 4.816
angles (deg): 104.32 104.32 59.40
Atoms (fractional coordinates):
Pd 0.876 0.376 0.214
Pd 0.124 0.624 0.786
Al 0.772 0.272 0.665
Al 0.228 0.728 0.335
Sc 0.500 0.000 0.000

---

2.
A geometry-optimized ScAl2Pd2 structure. Source: Alexandria via LeMat-Bulk, functional PBE-GGA.

Output
Size of the total moment in μB per formula unit: 0.0

a b c (Å): 7.514 7.514 2.912
angles (deg): 90.00 90.00 90.00
Atoms (fractional coordinates):
Pd 0.643 0.143 0.000
Pd 0.357 0.857 0.000
Pd 0.857 0.643 0.000
Pd 0.143 0.357 0.000
Al 0.152 0.652 0.500
Al 0.848 0.348 0.500
Al 0.348 0.152 0.500
Al 0.652 0.848 0.500
Sc 0.000 0.000 0.000
Sc 0.500 0.500 0.000

---

Going by the computed energies, the most stable comes first: 1, 2.

---

1.
A geometry-optimized Sc2AlPd4 structure. Source: Alexandria via LeMat-Bulk, functional PBE-GGA.

Output
Size of the total moment in μB per formula unit: 0.0

a b c (Å): 4.557 4.557 7.475
angles (deg): 72.25 72.25 90.00
Atoms (fractional coordinates):
Pd 0.500 0.000 0.000
Pd 0.000 0.500 0.000
Pd 0.182 0.182 0.637
Pd 0.818 0.818 0.363
Al 0.000 0.000 0.000
Sc 0.367 0.367 0.265
Sc 0.633 0.633 0.735

---

2.
A geometry-optimized Sc2AlPd4 structure. Source: Alexandria via LeMat-Bulk, functional PBE-GGA.

Output
Size of the total moment in μB per formula unit: 0.0

a b c (Å): 4.457 4.457 7.756
angles (deg): 73.21 73.21 59.91
Atoms (fractional coordinates):
Pd 0.121 0.121 0.631
Pd 0.879 0.879 0.369
Pd 0.371 0.371 0.886
Pd 0.629 0.629 0.114
Sc 0.753 0.753 0.738
Sc 0.247 0.247 0.262
Al 0.000 0.000 0.000

---

Going by the computed energies, the most stable comes first: 2, 1.

---

1.
A geometry-optimized ScAlPd3 structure. Source: Alexandria via LeMat-Bulk, functional PBE-GGA.

Output
Size of the total moment in μB per formula unit: 0.0

a b c (Å): 4.561 5.621 7.454
angles (deg): 90.00 62.15 90.00
Atoms (fractional coordinates):
Al 0.343 0.250 0.849
Al 0.657 0.750 0.151
Pd 0.136 0.994 0.150
Pd 0.152 0.750 0.477
Pd 0.848 0.250 0.523
Pd 0.864 0.494 0.850
Pd 0.136 0.506 0.150
Pd 0.864 0.006 0.850
Sc 0.480 0.750 0.689
Sc 0.520 0.250 0.311

---

2.
A geometry-optimized ScAlPd3 structure. Source: Alexandria via LeMat-Bulk, functional PBE-GGA.

Output
Size of the total moment in μB per formula unit: 0.0

a b c (Å): 4.564 4.564 4.564
angles (deg): 90.00 90.00 90.00
Atoms (fractional coordinates):
Sc 0.500 0.500 0.500
Al 0.000 0.000 0.000
Pd 0.000 0.000 0.500
Pd 0.500 0.000 0.000
Pd 0.000 0.500 0.000

---

Going by the computed energies, the most stable comes first: 1, 2.

---

1.
A geometry-optimized ScAl3Pd structure. Source: Alexandria via LeMat-Bulk, functional PBE-GGA.

Output
Size of the total moment in μB per formula unit: 0.0

a b c (Å): 4.036 8.214 10.762
angles (deg): 90.00 90.00 90.00
Atoms (fractional coordinates):
Pd 0.750 0.891 0.359
Pd 0.250 0.609 0.859
Pd 0.750 0.391 0.141
Pd 0.250 0.109 0.641
Al 0.250 0.568 0.090
Al 0.250 0.068 0.410
Al 0.250 0.361 0.291
Al 0.750 0.139 0.791
Al 0.750 0.932 0.590
Al 0.750 0.432 0.910
Al 0.250 0.861 0.209
Al 0.250 0.398 0.696
Al 0.750 0.102 0.196
Al 0.250 0.898 0.804
Al 0.750 0.639 0.709
Al 0.750 0.602 0.304
Sc 0.750 0.316 0.492
Sc 0.250 0.184 0.992
Sc 0.250 0.684 0.508
Sc 0.750 0.816 0.008

---

2.
A geometry-optimized ScAl3Pd structure. Source: Alexandria via LeMat-Bulk, functional PBE-GGA.

Output
Size of the total moment in μB per formula unit: 0.0

a b c (Å): 4.695 4.695 4.695
angles (deg): 90.00 90.00 90.00
Atoms (fractional coordinates):
Pd 0.000 0.000 0.000
Sc 0.500 0.500 0.500
Al 0.500 0.000 0.000
Al 0.000 0.500 0.000
Al 0.000 0.000 0.500

---

Going by the computed energies, the most stable comes first: 1, 2.